Compound: HfPa2Cd
Source: Alexandria
Functional: PBE
Structure: optimized geometry

Unit cell a=4.3459 b=4.3459 c=4.9872 alpha=90.00 beta=90.00 gamma=90.00
Closest atoms and distances in Å follow each position.
Fractional positions:
1 Hf 0.0000 0.0000 0.0000  4 Cd 3.07, 8 Pa 3.31
2 Pa 0.0000 0.5000 0.5000  4 Pa 3.07, 4 Cd 3.31, 4 Hf 3.31
3 Pa 0.5000 0.0000 0.5000  4 Pa 3.07, 4 Cd 3.31, 4 Hf 3.31
4 Cd 0.5000 0.5000 0.0000  4 Hf 3.07, 8 Pa 3.31

Values from the calculation:
E above lowest polymorph, eV/atom: 0.0000
Energy of formation, kJ per mole of atoms: 12
Volume, A^3/atom: 23.5
Density of states at the Fermi level, states/eV per cell: 5.7